PBE-GGA Co2PS, optimized geometry; space-group type = Fm-3m, No. 225; calculated volume = 46.8 Å³/cell; raw formation energy = 0.412 eV/f.u.
1.0
-0.060 -4.028 -0.357
-1.772 -2.257 2.850
-3.475 -1.907 -0.801
S Co P
1 2 1
direct
0.500 0.500 0.500
0.250 0.250 0.250
0.750 0.750 0.750
0.000 0.000 0.000